{
  "formula": "Li4PtRh2",
  "functional": "PBE",
  "state": "optimized geometry",
  "lattice_angstrom": [[-3.1222, 3.1222, 2.4419], [3.1222, -3.1222, 2.4419], [3.1222, 3.1222, -2.4419]],
  "species": ["Li", "Li", "Li", "Li", "Pt", "Rh", "Rh"],
  "frac_coords": [[0.2003, 0.2003, 0.4006], [0.2003, 0.7997, 0.0000], [0.7997, 0.2003, 0.0000], [0.7997, 0.7997, 0.5994], [0.5000, 0.5000, 0.0000], [0.2500, 0.7500, 0.5000], [0.7500, 0.2500, 0.5000]],
  "space_group": "I4/mmm (139)",
  "total_energy_ev_per_atom": -4.1328
}


{
  "formula": "LiPt2Rh",
  "functional": "PBE",
  "state": "optimized geometry",
  "lattice_angstrom": [[-1.8830, 1.8830, 8.9079], [1.8830, -1.8830, 8.9079], [1.8830, 1.8830, -8.9079]],
  "species": ["Li", "Li", "Pt", "Pt", "Pt", "Pt", "Rh", "Rh"],
  "frac_coords": [[0.0000, 0.0000, 0.0000], [0.7500, 0.2500, 0.5000], [0.1220, 0.6250, 0.9970], [0.3750, 0.3720, 0.4970], [0.6280, 0.1250, 0.0030], [0.8750, 0.8780, 0.5030], [0.2500, 0.7500, 0.5000], [0.5000, 0.5000, 0.0000]],
  "space_group": "I-42d (122)",
  "total_energy_ev_per_atom": -5.2442
}


{
  "formula": "Li2PtRh",
  "functional": "PBE",
  "state": "optimized geometry",
  "lattice_angstrom": [[2.6923, 0.0000, 0.0000], [0.0000, 4.2192, 0.0000], [0.0000, 0.0000, 5.0558]],
  "species": ["Li", "Li", "Pt", "Rh"],
  "frac_coords": [[0.0000, 0.0000, 0.0000], [0.5000, 0.5000, 0.2219], [0.0000, 0.0000, 0.5099], [0.5000, 0.5000, 0.7054]],
  "space_group": "Pmm2 (25)",
  "total_energy_ev_per_atom": -4.5714
}


{
  "formula": "Li6PtRh",
  "functional": "PBE",
  "state": "optimized geometry",
  "lattice_angstrom": [[4.2336, 0.0000, 0.0000], [2.0176, 4.4341, 0.0000], [0.0118, 2.1873, 5.8430]],
  "species": ["Li", "Li", "Li", "Li", "Li", "Li", "Pt", "Rh"],
  "frac_coords": [[0.0000, 0.0004, 0.2470], [0.0000, 0.9996, 0.7530], [0.2503, 0.5029, 0.6254], [0.2536, 0.4954, 0.1249], [0.7464, 0.5046, 0.8751], [0.7497, 0.4971, 0.3746], [0.5000, 0.0000, 0.5000], [0.5000, 0.0000, 0.0000]],
  "space_group": "P-1 (2)",
  "total_energy_ev_per_atom": -3.3566
}


{
  "formula": "Li2PtRh2",
  "functional": "PBE",
  "state": "optimized geometry",
  "lattice_angstrom": [[6.7448, 0.0000, 0.0000], [0.0000, 6.7448, 0.0000], [0.0000, 0.0000, 2.8055]],
  "species": ["Li", "Li", "Li", "Li", "Pt", "Pt", "Rh", "Rh", "Rh", "Rh"],
  "frac_coords": [[0.1140, 0.3860, 0.0000], [0.3860, 0.8860, 0.0000], [0.6140, 0.1140, 0.0000], [0.8860, 0.6140, 0.0000], [0.0000, 0.0000, 0.0000], [0.5000, 0.5000, 0.0000], [0.1886, 0.6886, 0.5000], [0.3114, 0.1886, 0.5000], [0.6886, 0.8114, 0.5000], [0.8114, 0.3114, 0.5000]],
  "space_group": "P4/mbm (127)",
  "total_energy_ev_per_atom": -4.9646
}


{
  "formula": "Li2PtRh",
  "functional": "PBE",
  "state": "optimized geometry",
  "lattice_angstrom": [[2.7684, 0.0000, 0.0000], [0.0000, 4.5506, 0.0000], [0.0000, 0.0000, 4.3819]],
  "species": ["Li", "Li", "Pt", "Rh"],
  "frac_coords": [[0.0000, 0.0000, 0.0000], [0.5000, 0.5000, 0.0859], [0.0000, 0.5000, 0.5842], [0.5000, 0.0000, 0.5057]],
  "space_group": "Pmm2 (25)",
  "total_energy_ev_per_atom": -4.6978
}


{
  "formula": "Li3Pt3Rh",
  "functional": "PBE",
  "state": "optimized geometry",
  "lattice_angstrom": [[4.2386, 2.4471, 1.7198], [-4.2386, 2.4471, 1.7198], [0.0000, -4.8943, 1.7198]],
  "species": ["Li", "Li", "Li", "Pt", "Pt", "Pt", "Rh"],
  "frac_coords": [[0.0061, 0.4969, 0.4969], [0.4969, 0.0061, 0.4969], [0.4969, 0.4969, 0.0061], [0.4901, 0.9989, 0.9989], [0.9989, 0.4901, 0.9989], [0.9989, 0.9989, 0.4901], [0.9520, 0.9520, 0.9520]],
  "space_group": "R3m (160)",
  "total_energy_ev_per_atom": -4.7535
}


{
  "formula": "Li2PtRh",
  "functional": "PBE",
  "state": "optimized geometry",
  "lattice_angstrom": [[3.7399, 0.0000, 0.0000], [0.0000, 3.7399, 0.0000], [0.0000, 0.0000, 3.9808]],
  "species": ["Li", "Li", "Pt", "Rh"],
  "frac_coords": [[0.0000, 0.5000, 0.0000], [0.5000, 0.0000, 0.0000], [0.0000, 0.0000, 0.5000], [0.5000, 0.5000, 0.5000]],
  "space_group": "P4/mmm (123)",
  "total_energy_ev_per_atom": -4.5769
}